# PBE-GGA Nb3N5, relaxed
# Formation energy without anion corrections (eV/f.u.): -6.14
data_Nb3N5
_chemical_formula_sum 'Nb12 N20'
_space_group_name_H-M_alt 'C m c m'
_space_group_IT_number 63
_space_group_name_Hall '-C 2c 2'
_cell_length_a 3.916
_cell_length_b 10.411
_cell_length_c 10.411
_cell_angle_alpha 90.00
_cell_angle_beta 90.00
_cell_angle_gamma 90.00
loop_
_atom_site_label
_atom_site_type_symbol
_atom_site_fract_x
_atom_site_fract_y
_atom_site_fract_z
_atom_site_occupancy
Nb1 Nb 0.000 0.131 0.059 1
Nb2 Nb 0.000 0.204 0.750 1
N1 N 0.000 0.047 0.620 1
N2 N 0.000 0.235 0.250 1
N3 N 0.000 0.309 0.574 1

***

# PBE-GGA NbN, relaxed
# Density of states at the Fermi level (states/eV/f.u.): 1.00
# Formation energy without anion corrections (eV/f.u.): -1.46
data_NbN
_chemical_formula_sum 'Nb6 N6'
_space_group_name_H-M_alt 'A m m 2'
_space_group_IT_number 38
_cell_length_a 3.053
_cell_length_b 8.846
_cell_length_c 6.096
_cell_angle_alpha 90.00
_cell_angle_beta 90.00
_cell_angle_gamma 90.00
loop_
_space_group_symop_operation_xyz
'x,y,z'
'-x,-y,z'
'-x,y,z'
'x,-y,z'
'x,y+1/2,z+1/2'
'-x,-y+1/2,z+1/2'
'-x,y+1/2,z+1/2'
'x,-y+1/2,z+1/2'
loop_
_atom_site_label
_atom_site_type_symbol
_atom_site_fract_x
_atom_site_fract_y
_atom_site_fract_z
_atom_site_occupancy
Nb1 Nb 0.000 0.000 0.000 1
Nb2 Nb 0.500 0.228 0.743 1
N1 N 0.000 0.245 0.492 1
N2 N 0.500 0.000 0.745 1

***

Number 1 is which compound?
Nb3N5

***

Which formula does entry 1 have?
Nb3N5

***

Repeat the first record exactly.
# PBE-GGA Nb3N5, relaxed
# Formation energy without anion corrections (eV/f.u.): -6.14
data_Nb3N5
_chemical_formula_sum 'Nb12 N20'
_space_group_name_H-M_alt 'C m c m'
_space_group_IT_number 63
_space_group_name_Hall '-C 2c 2'
_cell_length_a 3.916
_cell_length_b 10.411
_cell_length_c 10.411
_cell_angle_alpha 90.00
_cell_angle_beta 90.00
_cell_angle_gamma 90.00
loop_
_atom_site_label
_atom_site_type_symbol
_atom_site_fract_x
_atom_site_fract_y
_atom_site_fract_z
_atom_site_occupancy
Nb1 Nb 0.000 0.131 0.059 1
Nb2 Nb 0.000 0.204 0.750 1
N1 N 0.000 0.047 0.620 1
N2 N 0.000 0.235 0.250 1
N3 N 0.000 0.309 0.574 1